4
Lattice="2.233 1.289 4.353 -2.233 1.289 4.353 0.000 -2.578 4.353" Properties=species:S:1:pos:R:3 comment="TmTaIr2 GGA-PBE relaxed" e_above_lowest_polymorph_mev_per_atom=101 formation_energy_mev_per_atom=-570 energy_ev_per_cell=-36.33 pbc="T T T"
Tm 0.000 0.000 0.000
Ta 0.000 0.000 6.530
Ir 0.000 0.000 2.926
Ir 0.000 0.000 10.134

4
Lattice="3.080 0.000 0.000 0.000 3.080 0.000 0.000 0.000 7.553" Properties=species:S:1:pos:R:3 comment="TmTaIr2 GGA-PBE relaxed" e_above_lowest_polymorph_mev_per_atom=0 formation_energy_mev_per_atom=-672 energy_ev_per_cell=-36.73 pbc="T T T"
Tm 0.000 0.000 0.000
Ta 0.000 0.000 3.777
Ir 1.540 1.540 2.132
Ir 1.540 1.540 5.421

4
Lattice="4.839 0.000 0.000 0.000 4.839 0.000 0.000 0.000 3.020" Properties=species:S:1:pos:R:3 comment="TmTaIr2 GGA-PBE relaxed" e_above_lowest_polymorph_mev_per_atom=76 formation_energy_mev_per_atom=-596 energy_ev_per_cell=-36.43 pbc="T T T"
Tm 0.000 0.000 0.000
Ta 2.419 2.419 0.000
Ir 0.000 2.419 1.510
Ir 2.419 0.000 1.510

8
Lattice="3.990 0.000 0.000 0.000 3.990 0.000 0.000 0.000 7.976" Properties=species:S:1:pos:R:3 comment="UTaIr6 GGA-PBE relaxed" formation_energy_mev_per_atom=-628 energy_ev_per_cell=-81.33 pbc="T T T"
U 0.000 0.000 0.000
Ta 0.000 0.000 3.988
Ir 0.000 1.995 2.054
Ir 0.000 1.995 5.923
Ir 1.995 0.000 2.054
Ir 1.995 0.000 5.923
Ir 1.995 1.995 0.000
Ir 1.995 1.995 3.988